1.
NaLiB2H10N2 | PBE | relaxed

a = 5.3660 Å, b = 7.2072 Å, c = 14.6568 Å
α = 90.00°, β = 90.00°, γ = 90.00°
Positions (direct):
Na: 0.5674 0.3034 0.1687
Na: 0.0674 0.6966 0.8313
Na: 0.0674 0.3034 0.3313
Na: 0.5674 0.6966 0.6687
Li: 0.9359 0.8178 0.1782
Li: 0.4359 0.1822 0.8218
Li: 0.4359 0.8178 0.3218
Li: 0.9359 0.1822 0.6782
B: 0.9647 0.6857 0.3393
B: 0.4647 0.3143 0.6607
B: 0.4647 0.6857 0.1607
B: 0.9647 0.3143 0.8393
B: 0.0501 0.1596 0.1419
B: 0.5501 0.8404 0.8581
B: 0.5501 0.1596 0.3581
B: 0.0501 0.8404 0.6419
H: 0.7505 0.7697 0.4566
H: 0.2505 0.2303 0.5434
H: 0.2505 0.7697 0.0434
H: 0.7505 0.2303 0.9566
H: 0.6581 0.5747 0.4137
H: 0.1581 0.4253 0.5863
H: 0.1581 0.5747 0.0863
H: 0.6581 0.4253 0.9137
H: 0.9234 0.5904 0.2708
H: 0.4234 0.4096 0.7292
H: 0.4234 0.5904 0.2292
H: 0.9234 0.4096 0.7708
H: 0.0363 0.8408 0.3128
H: 0.5363 0.1592 0.6872
H: 0.5363 0.8408 0.1872
H: 0.0363 0.1592 0.8128
H: 0.1458 0.6149 0.3801
H: 0.6458 0.3851 0.6199
H: 0.6458 0.6149 0.1199
H: 0.1458 0.3851 0.8801
H: 0.1970 0.2653 0.0147
H: 0.6970 0.7347 0.9853
H: 0.6970 0.2653 0.4853
H: 0.1970 0.7347 0.5147
H: 0.3202 0.0679 0.0432
H: 0.8202 0.9321 0.9568
H: 0.8202 0.0679 0.4568
H: 0.3202 0.9321 0.5432
H: 0.1343 0.0718 0.2077
H: 0.6343 0.9282 0.7923
H: 0.6343 0.0718 0.2923
H: 0.1343 0.9282 0.7077
H: 0.9817 0.3132 0.1710
H: 0.4817 0.6868 0.8290
H: 0.4817 0.3132 0.3290
H: 0.9817 0.6868 0.6710
H: 0.8588 0.0749 0.1155
H: 0.3588 0.9251 0.8845
H: 0.3588 0.0749 0.3845
H: 0.8588 0.9251 0.6155
N: 0.7213 0.7037 0.3958
N: 0.2213 0.2963 0.6042
N: 0.2213 0.7037 0.1042
N: 0.7213 0.2963 0.8958
N: 0.2545 0.1894 0.0697
N: 0.7545 0.8106 0.9303
N: 0.7545 0.1894 0.4303
N: 0.2545 0.8106 0.5697

Values from the calculation:
The relative energy among the computed polymorphs comes out at 0.0076 eV per atom. Its space-group type is Pca2_1, No. 29. The magnetic moment is 0.0 μB/f.u. As for the crystal system: orthorhombic.



2.
NaLiB2H10N2 | PBE | relaxed

a = 5.1008 Å, b = 7.2340 Å, c = 8.8301 Å
α = 102.96°, β = 101.74°, γ = 106.92°
Positions (direct):
Na: 0.3488 0.2309 0.0163
Na: 0.6512 0.7691 0.9837
Li: 0.9764 0.5562 0.3668
Li: 0.0236 0.4438 0.6332
B: 0.1430 0.8103 0.8039
B: 0.8570 0.1897 0.1961
B: 0.5195 0.6252 0.2490
B: 0.4805 0.3748 0.7510
H: 0.0216 0.8349 0.5666
H: 0.9784 0.1651 0.4334
H: 0.7651 0.6743 0.6046
H: 0.2349 0.3257 0.3954
H: 0.1445 0.6724 0.8653
H: 0.8555 0.3276 0.1347
H: 0.0290 0.9139 0.8801
H: 0.9710 0.0861 0.1199
H: 0.3926 0.9189 0.8243
H: 0.6074 0.0811 0.1757
H: 0.3284 0.8477 0.3029
H: 0.6716 0.1523 0.6971
H: 0.4855 0.8104 0.4665
H: 0.5145 0.1896 0.5335
H: 0.7674 0.7316 0.2578
H: 0.2326 0.2684 0.7422
H: 0.3774 0.5616 0.1051
H: 0.6226 0.4384 0.8949
H: 0.5380 0.4771 0.2935
H: 0.4620 0.5229 0.7065
N: 0.9808 0.7203 0.6183
N: 0.0192 0.2797 0.3817
N: 0.3633 0.7363 0.3489
N: 0.6367 0.2637 0.6511

Values from the calculation:
The relative energy among the computed polymorphs comes out at 0.0000 eV per atom. Its space-group type is P-1, No. 2. The magnetic moment is 0.0 μB/f.u. As for the crystal system: triclinic.



3.
NaLiSiB3HO8 | PBE | relaxed

a = 6.8462 Å, b = 6.8841 Å, c = 13.9928 Å
α = 90.00°, β = 90.00°, γ = 110.74°
Positions (direct):
Na: 0.2802 0.2565 0.4917
Na: 0.7802 0.7565 0.0083
Na: 0.7198 0.7435 0.5083
Na: 0.2198 0.2435 0.9917
Li: 0.3368 0.8772 0.2002
Li: 0.6632 0.1228 0.7998
Li: 0.8368 0.3772 0.2998
Li: 0.1632 0.6228 0.7002
Si: 0.1678 0.2117 0.2471
Si: 0.8322 0.7883 0.7529
Si: 0.6678 0.7117 0.2529
Si: 0.3322 0.2883 0.7471
B: 0.7549 0.2171 0.5062
B: 0.5522 0.3196 0.1527
B: 0.7451 0.2829 0.0062
B: 0.2324 0.9135 0.8492
B: 0.2451 0.7829 0.4938
B: 0.9478 0.1804 0.6527
B: 0.2676 0.5865 0.3492
B: 0.2549 0.7171 0.9938
B: 0.4478 0.6804 0.8473
B: 0.7676 0.0865 0.1508
B: 0.7324 0.4135 0.6508
B: 0.0522 0.8196 0.3473
H: 0.7534 0.0597 0.3861
H: 0.7466 0.4403 0.8861
H: 0.2466 0.9403 0.6139
H: 0.2534 0.5597 0.1139
O: 0.0605 0.7878 0.7861
O: 0.3324 0.5167 0.7782
O: 0.1747 0.2058 0.6542
O: 0.6761 0.3553 0.5470
O: 0.3239 0.6447 0.4530
O: 0.6676 0.4833 0.2218
O: 0.7100 0.1734 0.4091
O: 0.9224 0.3757 0.6759
O: 0.2900 0.8266 0.5909
O: 0.2639 0.1360 0.8409
O: 0.3253 0.2942 0.1542
O: 0.9395 0.2122 0.2139
O: 0.2361 0.3640 0.3409
O: 0.6301 0.3821 0.0527
O: 0.7639 0.6360 0.6591
O: 0.8253 0.7942 0.3458
O: 0.0776 0.6243 0.3241
O: 0.1301 0.8821 0.4473
O: 0.1761 0.8553 0.9530
O: 0.6747 0.7058 0.8458
O: 0.8239 0.1447 0.0470
O: 0.7361 0.8640 0.1591
O: 0.4395 0.7122 0.2861
O: 0.4224 0.8757 0.8241
O: 0.8324 0.0167 0.7218
O: 0.5605 0.2878 0.7139
O: 0.8699 0.1179 0.5527
O: 0.7900 0.3266 0.9091
O: 0.1676 0.9833 0.2782
O: 0.5776 0.1243 0.1759
O: 0.3699 0.6179 0.9473
O: 0.2100 0.6734 0.0909

Values from the calculation:
The total energy comes out at -7.1288 eV per atom. Its space-group type is P2_1/c, No. 14. The magnetic moment is 0.0 μB/f.u. As for the crystal system: monoclinic.



4.
Li2B4H4O9 | PBE | relaxed

a = 8.5525 Å, b = 12.1939 Å, c = 13.9352 Å
α = 72.83°, β = 87.92°, γ = 86.96°
Positions (direct):
Li: 0.2482 0.9767 0.0073
Li: 0.7236 0.2510 0.5786
Li: 0.6914 0.2259 0.2865
Li: 0.7518 0.0233 0.9927
Li: 0.2764 0.7490 0.4214
Li: 0.7917 0.6299 0.2768
Li: 0.2554 0.5147 0.4912
Li: 0.7878 0.2538 0.9295
Li: 0.6839 0.8800 0.2365
Li: 0.0011 0.4653 0.8468
Li: 0.3161 0.1200 0.7635
Li: 0.9989 0.5347 0.1532
Li: 0.2083 0.3701 0.7232
Li: 0.3086 0.7741 0.7135
Li: 0.7446 0.4853 0.5088
Li: 0.2122 0.7462 0.0705
B: 0.0940 0.9584 0.8305
B: 0.4471 0.3069 0.1030
B: 0.6444 0.1420 0.1370
B: 0.9690 0.8576 0.1287
B: 0.1580 0.6345 0.6369
B: 0.0250 0.3299 0.4979
B: 0.5099 0.6468 0.3704
B: 0.5851 0.9778 0.8395
B: 0.5064 0.2612 0.8153
B: 0.6708 0.4208 0.7264
B: 0.8441 0.0763 0.7792
B: 0.4681 0.1711 0.0002
B: 0.9060 0.0416 0.1695
B: 0.8420 0.3655 0.3631
B: 0.1559 0.9237 0.2208
B: 0.5529 0.6931 0.8970
B: 0.3556 0.8580 0.8630
B: 0.0015 0.2395 0.6863
B: 0.3292 0.5792 0.2736
B: 0.0245 0.1919 0.3982
B: 0.5319 0.8289 0.9998
B: 0.9245 0.5183 0.6623
B: 0.4149 0.0222 0.1605
B: 0.4256 0.5388 0.6654
B: 0.4901 0.3532 0.6296
B: 0.9755 0.8081 0.6018
B: 0.4936 0.7388 0.1847
B: 0.5744 0.4612 0.3346
B: 0.0755 0.4817 0.3377
B: 0.9750 0.6701 0.5021
B: 0.0310 0.1424 0.8713
B: 0.9985 0.7605 0.3137
H: 0.2314 0.5441 0.0401
H: 0.4143 0.2376 0.5647
H: 0.2004 0.1440 0.5704
H: 0.7031 0.6318 0.0729
H: 0.1399 0.3614 0.1328
H: 0.2963 0.4882 0.8427
H: 0.7559 0.9842 0.5908
H: 0.6184 0.0896 0.4650
H: 0.7686 0.4559 0.9599
H: 0.0513 0.0766 0.3162
H: 0.0952 0.6178 0.9697
H: 0.8601 0.6386 0.8672
H: 0.9900 0.3172 0.2007
H: 0.2969 0.3682 0.9271
H: 0.5857 0.7624 0.4353
H: 0.1408 0.1989 0.9764
H: 0.9487 0.9234 0.6838
H: 0.6490 0.0449 0.6553
H: 0.4993 0.0664 0.3910
H: 0.6882 0.9659 0.3801
H: 0.3979 0.4169 0.1867
H: 0.2441 0.0158 0.4092
H: 0.9048 0.3822 0.0303
H: 0.6021 0.5831 0.8133
H: 0.3816 0.9104 0.5350
H: 0.5007 0.9336 0.6090
H: 0.3118 0.0341 0.6199
H: 0.7996 0.8560 0.4296
H: 0.7037 0.5118 0.1573
H: 0.3510 0.9551 0.3447
H: 0.8592 0.8011 0.0236
H: 0.0100 0.6828 0.7993
O: 0.4430 0.9604 0.8042
O: 0.8792 0.5746 0.5664
O: 0.5528 0.8214 0.1041
O: 0.9132 0.2625 0.3355
O: 0.8045 0.1317 0.1728
O: 0.9271 0.4699 0.3044
O: 0.1208 0.4254 0.4336
O: 0.6029 0.0995 0.3924
O: 0.0797 0.2307 0.7740
O: 0.4403 0.4769 0.2797
O: 0.8811 0.1697 0.6845
O: 0.8572 0.3512 0.4705
O: 0.3663 0.8451 0.9709
O: 0.4308 0.7525 0.8399
O: 0.3704 0.6726 0.1801
O: 0.6013 0.7202 0.9803
O: 0.9183 0.9072 0.6205
O: 0.3622 0.3966 0.1265
O: 0.5692 0.2475 0.1601
O: 0.1479 0.6038 0.0350
O: 0.2369 0.4190 0.8679
O: 0.6514 0.3830 0.6375
O: 0.2782 0.1117 0.6245
O: 0.1395 0.0386 0.8771
O: 0.8605 0.9614 0.1229
O: 0.5120 0.6998 0.4501
O: 0.3182 0.9499 0.2291
O: 0.9482 0.6770 0.3975
O: 0.3724 0.0747 0.0626
O: 0.7218 0.8883 0.3755
O: 0.0473 0.0266 0.2173
O: 0.4472 0.1786 0.8959
O: 0.8314 0.4503 0.7361
O: 0.4290 0.2740 0.7265
O: 0.6337 0.1549 0.0291
O: 0.5710 0.7260 0.2735
O: 0.6809 0.3745 0.3285
O: 0.6296 0.3274 0.8199
O: 0.0518 0.3230 0.6025
O: 0.3987 0.2798 0.0197
O: 0.0809 0.2201 0.4782
O: 0.8681 0.1143 0.8674
O: 0.6818 0.0501 0.7709
O: 0.1955 0.8683 0.8272
O: 0.9191 0.7799 0.5218
O: 0.4880 0.3002 0.5499
O: 0.0868 0.7375 0.6645
O: 0.6552 0.0314 0.5877
O: 0.8521 0.3962 0.9650
O: 0.7631 0.5810 0.1321
O: 0.0817 0.0928 0.3795
O: 0.0249 0.3718 0.1367
O: 0.3971 0.9005 0.6076
O: 0.1189 0.8303 0.3155
O: 0.3191 0.6255 0.6715
O: 0.3448 0.9686 0.4123
O: 0.3847 0.4620 0.6142
O: 0.6153 0.5380 0.3858
O: 0.9527 0.9734 0.7827
O: 0.5570 0.0396 0.1958
O: 0.3486 0.6170 0.3625
O: 0.6378 0.6034 0.8735
O: 0.0372 0.1849 0.9573
O: 0.1319 0.8857 0.1326
O: 0.1428 0.6488 0.5295
O: 0.1686 0.5497 0.2639
O: 0.6276 0.9253 0.9374
O: 0.5597 0.5231 0.7203
O: 0.9628 0.8151 0.0427
O: 0.9203 0.7693 0.2260
O: 0.9751 0.6282 0.8633
O: 0.0729 0.5301 0.6956

Values from the calculation:
The total energy comes out at -6.6594 eV per atom. Its space-group type is P-1, No. 2. The magnetic moment is 0.0 μB/f.u. As for the crystal system: triclinic.



5.
Li3B5H2O10 | PBE | relaxed

a = 6.9226 Å, b = 6.9226 Å, c = 14.6738 Å
α = 90.00°, β = 90.00°, γ = 90.00°
Positions (direct):
Li: 0.3652 0.3505 0.0927
Li: 0.6348 0.6495 0.5927
Li: 0.8505 0.1348 0.3427
Li: 0.1495 0.8652 0.8427
Li: 0.6495 0.6348 0.4073
Li: 0.3505 0.3652 0.9073
Li: 0.1348 0.8505 0.6573
Li: 0.8652 0.1495 0.1573
Li: 0.3054 0.6946 0.2500
Li: 0.6946 0.3054 0.7500
Li: 0.1946 0.1946 0.5000
Li: 0.8054 0.8054 0.0000
B: 0.2547 0.9951 0.1426
B: 0.7453 0.0049 0.6426
B: 0.4951 0.2453 0.3926
B: 0.5049 0.7547 0.8926
B: 0.0049 0.7453 0.3574
B: 0.9951 0.2547 0.8574
B: 0.2453 0.4951 0.6074
B: 0.7547 0.5049 0.1074
B: 0.2543 0.2397 0.2721
B: 0.7457 0.7603 0.7721
B: 0.7397 0.2457 0.5221
B: 0.2603 0.7543 0.0221
B: 0.7603 0.7457 0.2279
B: 0.2397 0.2543 0.7279
B: 0.2457 0.7397 0.4779
B: 0.7543 0.2603 0.9779
B: 0.5637 0.4363 0.2500
B: 0.4363 0.5637 0.7500
B: 0.9363 0.9363 0.5000
B: 0.0637 0.0637 0.0000
H: 0.0128 0.4053 0.2649
H: 0.9872 0.5947 0.7649
H: 0.9053 0.4872 0.5149
H: 0.0947 0.5128 0.0149
H: 0.5947 0.9872 0.2351
H: 0.4053 0.0128 0.7351
H: 0.4872 0.9053 0.4851
H: 0.5128 0.0947 0.9851
O: 0.2800 0.8051 0.1200
O: 0.7200 0.1949 0.6200
O: 0.3051 0.2200 0.3700
O: 0.6949 0.7800 0.8700
O: 0.1949 0.7200 0.3800
O: 0.8051 0.2800 0.8800
O: 0.2200 0.3051 0.6300
O: 0.7800 0.6949 0.1300
O: 0.3574 0.4038 0.2303
O: 0.6426 0.5962 0.7303
O: 0.9038 0.1426 0.4803
O: 0.0962 0.8574 0.9803
O: 0.5962 0.6426 0.2697
O: 0.4038 0.3574 0.7697
O: 0.1426 0.9038 0.5197
O: 0.8574 0.0962 0.0197
O: 0.6768 0.3725 0.1681
O: 0.3232 0.6275 0.6681
O: 0.8725 0.8232 0.4181
O: 0.1275 0.1768 0.9181
O: 0.6275 0.3232 0.3319
O: 0.3725 0.6768 0.8319
O: 0.8232 0.8725 0.5819
O: 0.1768 0.1275 0.0819
O: 0.3103 0.0515 0.2284
O: 0.6897 0.9485 0.7284
O: 0.5515 0.1897 0.4784
O: 0.4485 0.8103 0.9784
O: 0.9485 0.6897 0.2716
O: 0.0515 0.3103 0.7716
O: 0.1897 0.5515 0.5216
O: 0.8103 0.4485 0.0216
O: 0.0429 0.2664 0.2620
O: 0.9571 0.7336 0.7620
O: 0.7664 0.4571 0.5120
O: 0.2336 0.5429 0.0120
O: 0.7336 0.9571 0.2380
O: 0.2664 0.0429 0.7380
O: 0.4571 0.7664 0.4880
O: 0.5429 0.2336 0.9880

Values from the calculation:
The total energy comes out at -6.9958 eV per atom. Its space-group type is P4_32_12, No. 96. The magnetic moment is 0.0 μB/f.u. As for the crystal system: tetragonal.